Entry 1:
A relaxed structure of TbHo6Er2Sc, computed with PBE.

Values from the calculation:
Final energy ... -0.340 Ry/atom
Magnetization ... 0.000 μB per atom
DFT formation energy ... 0.128 eV/atom
Symmetry ... C2/c (15)
ρ ... 8.265 g/cm³
Density of states at the Fermi level ... 1.33 states/eV per atom

a b c (Å): 9.3418 8.6332 8.6332
angles (deg): 117.29 93.70 93.70
Fractional positions:
Ho: 0.0555 0.1259 0.7537
Ho: 0.6887 0.0069 0.5638
Ho: 0.8840 0.2922 0.5073
Sc: 0.2500 0.4134 0.5866
Sc: 0.7500 0.5866 0.4134
Er: 0.5475 0.2013 0.3052
Tb: 0.7500 0.0233 0.9767
Ho: 0.9445 0.8741 0.2463
Ho: 0.8113 0.4362 0.9931
Er: 0.4525 0.7987 0.6948
Ho: 0.1887 0.5638 0.0069
Ho: 0.4445 0.2463 0.8741
Tb: 0.2500 0.9767 0.0233
Ho: 0.3840 0.5073 0.2922
Er: 0.0475 0.3052 0.2013
Ho: 0.5555 0.7537 0.1259
Ho: 0.1160 0.7078 0.4927
Ho: 0.3113 0.9931 0.4362
Er: 0.9525 0.6948 0.7987
Ho: 0.6160 0.4927 0.7078


Entry 2:
A relaxed structure of TbHoEr3Sc, computed with PBE.

Values from the calculation:
Final energy ... -0.355 Ry/atom
Magnetization ... 0.000 μB per atom
DFT formation energy ... 0.036 eV/atom
Symmetry ... Cmcm (63)
ρ ... 8.099 g/cm³
Density of states at the Fermi level ... 1.42 states/eV per atom

a b c (Å): 4.9175 7.7802 9.8352
angles (deg): 90.00 90.00 108.42
Fractional positions:
Er: 0.6676 0.3353 0.4996
Er: 0.8309 0.6619 0.2500
Tb: 0.4981 0.9962 0.7500
Er: 0.3324 0.6647 0.9996
Er: 0.3324 0.6647 0.5004
Sc: 0.1676 0.3351 0.2500
Sc: 0.8324 0.6649 0.7500
Er: 0.6676 0.3353 0.0004
Ho: 0.0000 0.0000 0.0000
Ho: 0.0000 0.0000 0.5000
Tb: 0.5019 0.0038 0.2500
Er: 0.1691 0.3381 0.7500


Entry 3:
A relaxed structure of Tb6Ho2ErSc, computed with PBE.

Values from the calculation:
Final energy ... -0.342 Ry/atom
Magnetization ... 0.000 μB per atom
DFT formation energy ... 0.130 eV/atom
Symmetry ... C2/c (15)
ρ ... 7.939 g/cm³
Density of states at the Fermi level ... 1.35 states/eV per atom

a b c (Å): 8.8283 8.9961 8.9961
angles (deg): 118.68 91.75 91.75
Fractional positions:
Ho: 0.0522 0.3160 0.2089
Tb: 0.2025 0.5461 0.9665
Tb: 0.9021 0.2722 0.5242
Ho: 0.5522 0.2089 0.3160
Tb: 0.4484 0.2127 0.8725
Tb: 0.2975 0.0335 0.4539
Sc: 0.2500 0.4371 0.5629
Tb: 0.4021 0.5242 0.2722
Tb: 0.5979 0.4758 0.7278
Sc: 0.7500 0.5629 0.4371
Tb: 0.5516 0.7873 0.1275
Tb: 0.0516 0.1275 0.7873
Er: 0.7500 0.0315 0.9685
Er: 0.2500 0.9685 0.0315
Ho: 0.9478 0.6840 0.7911
Tb: 0.7025 0.9665 0.5461
Ho: 0.4478 0.7911 0.6840
Tb: 0.9484 0.8725 0.2127
Tb: 0.0979 0.7278 0.4758
Tb: 0.7975 0.4539 0.0335


Entry 4:
A relaxed structure of Tb2Ho2ErSc2, computed with PBE.

Values from the calculation:
Final energy ... -0.366 Ry/atom
Magnetization ... 0.000 μB per atom
DFT formation energy ... 0.108 eV/atom
Symmetry ... C2/m (12)
ρ ... 7.216 g/cm³
Density of states at the Fermi level ... 1.79 states/eV per atom

a b c (Å): 3.4077 5.8803 11.4792
angles (deg): 71.90 90.00 106.84
Fractional positions:
Sc: 0.7722 0.5445 0.3668
Tb: 0.3292 0.6584 0.0878
Er: 0.0000 0.0000 0.5000
Ho: 0.4523 0.9045 0.7679
Ho: 0.5477 0.0955 0.2321
Sc: 0.2278 0.4555 0.6332
Tb: 0.6708 0.3416 0.9122


Entry 5:
A relaxed structure of TbHo2Er2Sc2, computed with PBE.

Values from the calculation:
Final energy ... -0.366 Ry/atom
Magnetization ... 0.001 μB per atom
DFT formation energy ... 0.109 eV/atom
Symmetry ... C2/m (12)
ρ ... 7.329 g/cm³
Density of states at the Fermi level ... 1.81 states/eV per atom

a b c (Å): 3.4026 5.8551 11.4656
angles (deg): 72.03 90.00 106.89
Fractional positions:
Tb: 0.0000 0.0000 0.5000
Sc: 0.7735 0.5469 0.3648
Ho: 0.3292 0.6583 0.0868
Er: 0.4514 0.9029 0.7693
Sc: 0.2265 0.4531 0.6352
Ho: 0.6708 0.3417 0.9132
Er: 0.5486 0.0971 0.2307


Entry 6:
A relaxed structure of TbHo4Er2Sc, computed with PBE.

Values from the calculation:
Final energy ... -0.350 Ry/atom
Magnetization ... 0.000 μB per atom
DFT formation energy ... 0.032 eV/atom
Symmetry ... P4/mmm (123)
ρ ... 8.266 g/cm³
Density of states at the Fermi level ... 1.48 states/eV per atom

a b c (Å): 4.9369 4.9370 11.0393
angles (deg): 63.45 90.00 90.00
Fractional positions:
Sc: 0.0000 0.5000 0.5000
Er: 0.0000 0.0000 0.0000
Er: 0.5000 0.0000 0.5000
Ho: 0.5000 0.2553 0.7448
Ho: 0.0000 0.7552 0.7448
Ho: 0.0000 0.2448 0.2552
Ho: 0.5000 0.7447 0.2552
Tb: 0.5000 0.5000 0.0000


Entry 7:
A relaxed structure of Tb4Ho2ErSc, computed with PBE.

Values from the calculation:
Final energy ... -0.352 Ry/atom
Magnetization ... 0.000 μB per atom
DFT formation energy ... 0.030 eV/atom
Symmetry ... P4/mmm (123)
ρ ... 8.018 g/cm³
Density of states at the Fermi level ... 1.45 states/eV per atom

a b c (Å): 4.9701 4.9699 11.0527
angles (deg): 63.30 90.00 90.00
Fractional positions:
Tb: 0.0000 0.7547 0.7456
Er: 0.5000 0.5000 0.0000
Tb: 0.5000 0.7456 0.2543
Tb: 0.0000 0.2453 0.2544
Tb: 0.5000 0.2544 0.7457
Sc: 0.0000 0.5000 0.5000
Ho: 0.5000 0.0000 0.5000
Ho: 0.0000 0.0000 0.0000


Entry 8:
A relaxed structure of TbHoEr2Sc5, computed with PBE.

Values from the calculation:
Final energy ... -0.396 Ry/atom
Magnetization ... 0.001 μB per atom
DFT formation energy ... 0.168 eV/atom
Symmetry ... Cmc2_1 (36)
ρ ... 5.804 g/cm³
Density of states at the Fermi level ... 1.79 states/eV per atom

a b c (Å): 5.3146 9.6231 10.2804
angles (deg): 90.00 90.00 106.03
Fractional positions:
Sc: 0.9790 0.9580 0.5324
Er: 0.1075 0.2150 0.7328
Sc: 0.4780 0.9561 0.7342
Sc: 0.5220 0.0439 0.2342
Sc: 0.2990 0.5979 0.7104
Er: 0.8873 0.7746 0.8238
Sc: 0.2863 0.5726 0.2991
Ho: 0.5822 0.1645 0.9587
Sc: 0.7010 0.4021 0.2104
Sc: 0.6011 0.2022 0.5230
Sc: 0.7137 0.4274 0.7991
Er: 0.8925 0.7850 0.2328
Ho: 0.4178 0.8355 0.4587
Sc: 0.3989 0.7978 0.0230
Er: 0.1127 0.2254 0.3238
Tb: 0.2081 0.4162 0.0096
Tb: 0.7919 0.5838 0.5096
Sc: 0.0210 0.0420 0.0324


Entry 9:
A relaxed structure of Tb2Ho4ErSc, computed with PBE.

Values from the calculation:
Final energy ... -0.351 Ry/atom
Magnetization ... 0.000 μB per atom
DFT formation energy ... 0.031 eV/atom
Symmetry ... P4/mmm (123)
ρ ... 8.160 g/cm³
Density of states at the Fermi level ... 1.44 states/eV per atom

a b c (Å): 4.9495 4.9512 11.0502
angles (deg): 63.39 90.00 90.00
Fractional positions:
Sc: 0.0000 0.5000 0.5000
Ho: 0.0000 0.7545 0.7459
Ho: 0.5000 0.2544 0.7459
Tb: 0.0000 0.0000 0.0000
Ho: 0.5000 0.7456 0.2541
Tb: 0.5000 0.0000 0.5000
Er: 0.5000 0.5000 0.0000
Ho: 0.0000 0.2455 0.2541


Entry 10:
A relaxed structure of Tb3Ho2Er6Sc, computed with PBE.

Values from the calculation:
Final energy ... -0.346 Ry/atom
Magnetization ... 0.000 μB per atom
DFT formation energy ... 0.028 eV/atom
Symmetry ... C2/m (12)
ρ ... 8.453 g/cm³
Density of states at the Fermi level ... 1.40 states/eV per atom

a b c (Å): 6.0660 6.0660 11.6067
angles (deg): 94.99 94.99 119.95
Fractional positions:
Tb: 0.5000 0.5000 0.5000
Ho: 0.3335 0.6665 0.0000
Tb: 0.8335 0.1665 0.5000
Sc: 0.0000 0.0000 0.0000
Er: 0.0816 0.4127 0.2467
Er: 0.4127 0.0816 0.2467
Ho: 0.6665 0.3335 0.0000
Er: 0.2495 0.2495 0.7531
Er: 0.5873 0.9184 0.7533
Tb: 0.1665 0.8335 0.5000
Er: 0.9184 0.5873 0.7533
Er: 0.7505 0.7505 0.2469


Entry 11:
A relaxed structure of TbHo2Er4Sc, computed with PBE.

Values from the calculation:
Final energy ... -0.350 Ry/atom
Magnetization ... 0.000 μB per atom
DFT formation energy ... 0.033 eV/atom
Symmetry ... P4/mmm (123)
ρ ... 8.323 g/cm³
Density of states at the Fermi level ... 1.48 states/eV per atom

a b c (Å): 4.9297 4.9319 11.0318
angles (deg): 63.47 90.00 90.00
Fractional positions:
Sc: 0.0000 0.5000 0.5000
Er: 0.5000 0.2545 0.7451
Ho: 0.5000 0.0000 0.5000
Tb: 0.5000 0.5000 0.0000
Er: 0.0000 0.7542 0.7453
Er: 0.5000 0.7455 0.2549
Er: 0.0000 0.2458 0.2547
Ho: 0.0000 0.0000 0.0000


Entry 12:
A relaxed structure of Tb2HoErSc, computed with PBE.

Values from the calculation:
Final energy ... -0.337 Ry/atom
Magnetization ... 0.000 μB per atom
DFT formation energy ... 0.367 eV/atom
Symmetry ... Cmcm (63)
ρ ... 7.188 g/cm³
Density of states at the Fermi level ... 1.45 states/eV per atom

a b c (Å): 7.0606 8.1402 6.9123
angles (deg): 126.07 90.00 90.00
Fractional positions:
Tb: 0.5000 0.3021 0.0000
Tb: 0.0000 0.6979 0.0000
Tb: 0.0000 0.3021 0.0000
Er: 0.7500 0.2687 0.5373
Sc: 0.2500 0.0008 0.0015
Sc: 0.7500 0.9992 0.9985
Tb: 0.5000 0.6979 0.0000
Er: 0.2500 0.7313 0.4627
Ho: 0.2500 0.2692 0.5384
Ho: 0.7500 0.7308 0.4616